Entry 1:
# CaNb2Os2

A PBEsol-optimized structure of CaNb2Os2 (meta-GGA SCAN, Alexandria via LeMat-Bulk).

* calculated total energy: -220.75 eV/f.u.
* SG: I4/mmm
* calculated formation energy: -0.2143 eV/atom

Unit cell a=6.1552 b=6.1552 c=6.1552 alpha=138.48 beta=138.48 gamma=60.18
With the nearest neighbours (Å) after each atom.
Atoms (fractional coordinates):
Ca 0.0000 0.0000 0.0000  8 Os 3.33, 8 Nb 3.44
Nb 0.2500 0.7500 0.5000  4 Os 2.59
Nb 0.7500 0.2500 0.5000  4 Os 2.59
Os 0.3816 0.3816 0.0000  1 Os 2.52, 4 Nb 2.59
Os 0.6184 0.6184 0.0000  1 Os 2.52, 4 Nb 2.59


Entry 2:
# Ca3NbP

A PBEsol-optimized structure of Ca3NbP (meta-GGA SCAN, Alexandria via LeMat-Bulk).

* calculated total energy: -72.37 eV/f.u.
* SG: Pm-3m
* calculated formation energy: 0.0287 eV/atom

Unit cell a=5.4208 b=5.4208 c=5.4208 alpha=90.00 beta=90.00 gamma=90.00
With the nearest neighbours (Å) after each atom.
Atoms (fractional coordinates):
Ca 0.0000 0.0000 0.5000  2 P 2.71
Ca 0.0000 0.5000 0.0000  2 P 2.71
Ca 0.5000 0.0000 0.0000  2 P 2.71
Nb 0.5000 0.5000 0.5000  12 Ca 3.83
P 0.0000 0.0000 0.0000  6 Ca 2.71


Entry 3:
# CaNbPS2

A PBEsol-optimized structure of CaNbPS2 (meta-GGA SCAN, Alexandria via LeMat-Bulk).

* uncorrected formation energy: 0.7106 eV/atom
* calculated total energy: -68.89 eV/f.u.
* SG: P4/mmm

Unit cell a=4.9033 b=4.9033 c=4.8922 alpha=90.00 beta=90.00 gamma=90.00
With the nearest neighbours (Å) after each atom.
Atoms (fractional coordinates):
Ca 0.0000 0.0000 0.0000  2 P 2.45, 4 S 2.45
Nb 0.5000 0.5000 0.5000  8 S 3.46, 4 P 3.47
P 0.0000 0.0000 0.5000  2 Ca 2.45
S 0.0000 0.5000 0.0000  2 Ca 2.45
S 0.5000 0.0000 0.0000  2 Ca 2.45


Entry 4:
# CaNbP2S

A PBEsol-optimized structure of CaNbP2S (meta-GGA SCAN, Alexandria via LeMat-Bulk).

* uncorrected formation energy: 1.0841 eV/atom
* calculated total energy: -67.80 eV/f.u.
* SG: P4/mmm

Unit cell a=4.8595 b=4.8595 c=4.8716 alpha=90.00 beta=90.00 gamma=90.00
With the nearest neighbours (Å) after each atom.
Atoms (fractional coordinates):
Ca 0.0000 0.0000 0.0000  4 P 2.43, 2 S 2.44
Nb 0.5000 0.5000 0.5000  4 S 3.44, 8 P 3.44
P 0.0000 0.5000 0.0000  2 Ca 2.43
P 0.5000 0.0000 0.0000  2 Ca 2.43
S 0.0000 0.0000 0.5000  2 Ca 2.44


What is the formula in the second record?
Ca3NbP